# 1
TmBe5 | PBE | relaxed

Results
crystal system	orthorhombic
ΔE_f	0.233	eV per atom
magnetic moment	0.00	μB/cell
electronic total energy	-3.6179	eV/atom

Cell lengths 4.1760, 8.5955, 3.9015 Å; angles 90.00, 90.00, 90.00 degrees
Last column: nearest neighbours and their distance in Å.
Space group Cmmm (No. 65)
Inequivalent atoms, fractional coordinates:
Tm 0.0000 0.0000 0.0000 (multiplicity 2)  14 Be 2.60-2.86
Be 0.0000 0.2398 0.5000 (multiplicity 4)  5 Be 2.07-2.24
Be 0.0000 0.3191 0.0000 (multiplicity 4)  2 Be 2.07
Be 0.0000 0.5000 0.5000 (multiplicity 2)  6 Be 2.24-2.49


# 2
TmBe12 | PBE | relaxed

Results
crystal system	tetragonal
ΔE_f	-0.087	eV per atom
magnetic moment	0.00	μB/cell
electronic total energy	-3.8705	eV/atom

Cell lengths 7.6123, 7.6123, 4.2379 Å; angles 90.00, 90.00, 90.00 degrees
Last column: nearest neighbours and their distance in Å.
Space group I4/mmm (No. 139)
Inequivalent atoms, fractional coordinates:
Tm 0.0000 0.0000 0.0000 (multiplicity 2)  20 Be 2.71-2.89
Be 0.0000 0.2307 0.5000 (multiplicity 8)  8 Be 2.18-2.32
Be 0.0000 0.3562 0.0000 (multiplicity 8)  9 Be 2.19-2.32
Be 0.2500 0.2500 0.2500 (multiplicity 8)  10 Be 2.12-2.32


# 3
Tm3Be | PBE | relaxed

Results
crystal system	orthorhombic
ΔE_f	0.088	eV per atom
magnetic moment	0.00	μB/cell
electronic total energy	-4.1970	eV/atom
E above lowest polymorph	0.0	meV per atom

Cell lengths 3.5262, 5.0820, 10.9729 Å; angles 90.00, 90.00, 90.00 degrees
Last column: nearest neighbours and their distance in Å.
Space group Immm (No. 71)
Inequivalent atoms, fractional coordinates:
Tm 0.0000 0.0000 0.0000 (multiplicity 2)  4 Be 3.09, 4 Tm 3.40
Tm 0.0000 0.5000 0.2058 (multiplicity 4)  2 Be 2.87
Be 0.0000 0.0000 0.5000 (multiplicity 2)  8 Tm 2.87-3.09


# 4
Tm2Be17 | PBE | relaxed

Results
crystal system	trigonal
ΔE_f	-0.157	eV per atom
magnetic moment	0.00	μB/cell
electronic total energy	-3.9613	eV/atom

Cell lengths 7.6667, 7.6667, 11.1702 Å; angles 90.00, 90.00, 120.00 degrees
Last column: nearest neighbours and their distance in Å.
Space group R-3m (No. 166, hexagonal axes)
Inequivalent atoms, fractional coordinates:
Tm 0.0000 0.0000 0.1609 (multiplicity 6)  19 Be 2.72-2.93
Be 0.0000 0.0000 0.4045 (multiplicity 6)  7 Be 2.13-2.36
Be 0.0000 0.2810 0.5000 (multiplicity 18)  8 Be 2.15-2.40
Be 0.0000 0.5000 0.0000 (multiplicity 9)  10 Be 2.18-2.35
Be 0.0026 0.5013 0.3403 (multiplicity 18)  9 Be 2.21-2.45


# 5
Tm3Be | PBE | relaxed

Results
crystal system	orthorhombic
ΔE_f	0.339	eV per atom
magnetic moment	0.00	μB/cell
electronic total energy	-3.9462	eV/atom
E above lowest polymorph	250.8	meV per atom

Cell lengths 3.3818, 3.5749, 8.8479 Å; angles 90.00, 90.00, 90.00 degrees
Last column: nearest neighbours and their distance in Å.
Space group Pmm2 (No. 25)
Inequivalent atoms, fractional coordinates:
Tm 0.0000 0.0000 0.0000 (multiplicity 1)  10 Tm 3.38-3.57
Tm 0.0000 0.5000 0.3344 (multiplicity 1)  4 Be 2.75
Tm 0.5000 0.5000 0.7209 (multiplicity 1)  2 Be 2.82
Be 0.5000 0.0000 0.4737 (multiplicity 1)  6 Tm 2.75-2.82


# 6
TmBe4 | PBE | relaxed

Results
crystal system	cubic
ΔE_f	2.320	eV per atom
magnetic moment	0.02	μB/cell
electronic total energy	-1.5551	eV/atom

Cell lengths 4.9551, 4.9551, 4.9551 Å; angles 90.00, 90.00, 90.00 degrees
Last column: nearest neighbours and their distance in Å.
Space group Pm-3m (No. 221)
Inequivalent atoms, fractional coordinates:
Tm 0.0000 0.0000 0.0000 (multiplicity 1)  6 Be 2.48
Be 0.0000 0.0000 0.5000 (multiplicity 3)  2 Tm 2.48
Be 0.5000 0.5000 0.5000 (multiplicity 1)  12 Be 3.50


# 7
TmBe4V | PBE | relaxed

Results
crystal system	cubic
ΔE_f	0.013	eV per atom
magnetic moment	10.47	μB/cell
electronic total energy	-4.7360	eV/atom

Cell lengths 6.6637, 6.6637, 6.6637 Å; angles 90.00, 90.00, 90.00 degrees
Last column: nearest neighbours and their distance in Å.
Space group F-43m (No. 216)
Inequivalent atoms, fractional coordinates:
Tm 0.0000 0.0000 0.0000 (multiplicity 4)  12 Be 2.77, 4 V 2.89
Be 0.1224 0.1224 0.6224 (multiplicity 16)  6 Be 2.31-2.40
V 0.2500 0.2500 0.2500 (multiplicity 4)  12 Be 2.76, 4 Tm 2.89


# 8
TmBe17W | PBE | relaxed

Results
crystal system	trigonal
ΔE_f	-0.122	eV per atom
magnetic moment	0.00	μB/cell
electronic total energy	-4.3730	eV/atom

Cell lengths 7.4498, 7.4498, 10.8586 Å; angles 90.00, 90.00, 120.00 degrees
Last column: nearest neighbours and their distance in Å.
Space group R3m (No. 160, hexagonal axes)
Inequivalent atoms, fractional coordinates:
Tm 0.0000 0.0000 0.0000 (multiplicity 3)  19 Be 2.68-2.87
Be 0.0000 0.0000 0.5592 (multiplicity 3)  7 Be 2.11-2.28
Be 0.0000 0.0000 0.7533 (multiplicity 3)  4 Be 2.11-2.31
Be 0.0025 0.5013 0.1596 (multiplicity 9)  10 Be 2.10-2.31
Be 0.0455 0.3742 0.3279 (multiplicity 18)  8 Be 2.10-2.32
Be 0.1677 0.3354 0.1528 (multiplicity 9)  9 Be 2.14-2.32
Be 0.1710 0.3420 0.8389 (multiplicity 9)  9 Be 2.14-2.39
W 0.0000 0.0000 0.3237 (multiplicity 3)  19 Be 2.56-2.85